1.
Entry from Alexandria via LeMat-Bulk: crystalline Na2CaNb at its relaxed geometry (PBE).

Computed properties:
**E above lowest polymorph**: 130 meV/atom
**E**: -2.643 eV per atom
**Fermi-level density of states**: 0.814 states/eV/atom
**V**: 32.15 Å³/atom
**Energy relative to the elements**: 1034.3 meV per atom

Unit cell a=7.0913 b=7.0913 c=7.0913 alpha=101.92 beta=101.92 gamma=125.93
Fractional positions:
Na 0.1078 0.6250 0.9828
Na 0.3750 0.3578 0.4828
Na 0.6422 0.1250 0.0172
Na 0.8750 0.8922 0.5172
Ca 0.2500 0.7500 0.5000
Ca 0.5000 0.5000 0.0000
Nb 0.0000 0.0000 0.0000
Nb 0.7500 0.2500 0.5000


2.
Entry from Alexandria via LeMat-Bulk: crystalline NaCa2Nb at its relaxed geometry (PBE).

Computed properties:
**E above lowest polymorph**: 250 meV/atom
**E**: -2.936 eV per atom
**Fermi-level density of states**: 0.920 states/eV/atom
**V**: 31.95 Å³/atom
**Energy relative to the elements**: 912.0 meV per atom

Unit cell a=6.9950 b=6.9950 c=6.9950 alpha=104.10 beta=104.10 gamma=120.84
Fractional positions:
Na 0.0000 0.0000 0.0000
Na 0.7500 0.2500 0.5000
Ca 0.1247 0.6250 0.9997
Ca 0.3750 0.3747 0.4997
Ca 0.6253 0.1250 0.0003
Ca 0.8750 0.8753 0.5003
Nb 0.2500 0.7500 0.5000
Nb 0.5000 0.5000 0.0000


3.
Entry from Alexandria via LeMat-Bulk: crystalline Na3CaNb at its relaxed geometry (PBE).

Computed properties:
**E above lowest polymorph**: 0 meV/atom
**E**: -2.116 eV per atom
**Fermi-level density of states**: 0.700 states/eV/atom
**V**: 40.50 Å³/atom
**Energy relative to the elements**: 1089.4 meV per atom

Unit cell a=5.8725 b=5.8725 c=5.8725 alpha=90.00 beta=90.00 gamma=90.00
Fractional positions:
Na 0.0000 0.0000 0.5000
Na 0.0000 0.5000 0.0000
Na 0.5000 0.0000 0.0000
Ca 0.5000 0.5000 0.5000
Nb 0.0000 0.0000 0.0000


4.
Entry from Alexandria via LeMat-Bulk: crystalline Na2CaNb at its relaxed geometry (PBE).

Computed properties:
**E above lowest polymorph**: 0 meV/atom
**E**: -2.773 eV per atom
**Fermi-level density of states**: 0.933 states/eV/atom
**V**: 29.88 Å³/atom
**Energy relative to the elements**: 904.5 meV per atom

Unit cell a=5.5289 b=5.5289 c=5.5289 alpha=60.00 beta=60.00 gamma=60.00
Fractional positions:
Na 0.2500 0.2500 0.2500
Na 0.7500 0.7500 0.7500
Ca 0.0000 0.0000 0.0000
Nb 0.5000 0.5000 0.5000


5.
Entry from Alexandria via LeMat-Bulk: crystalline Na3CaNb at its relaxed geometry (PBE).

Computed properties:
**E above lowest polymorph**: 406 meV/atom
**E**: -1.711 eV per atom
**Fermi-level density of states**: 0.855 states/eV/atom
**V**: 41.29 Å³/atom
**Energy relative to the elements**: 1494.9 meV per atom

Unit cell a=5.9104 b=5.9104 c=5.9104 alpha=90.00 beta=90.00 gamma=90.00
Fractional positions:
Na 0.0000 0.0000 0.5000
Na 0.0000 0.5000 0.0000
Na 0.5000 0.0000 0.0000
Ca 0.0000 0.0000 0.0000
Nb 0.5000 0.5000 0.5000


6.
Entry from Alexandria via LeMat-Bulk: crystalline Na2Ca2NbO6 at its relaxed geometry (PBE).

Computed properties:
**E**: -6.537 eV per atom
**Fermi-level density of states**: 0.650 states/eV/atom
**V**: 14.85 Å³/atom
**Formation energy from raw total energies**: -2.31 eV/atom

Unit cell a=5.7967 b=5.7967 c=5.8698 alpha=99.58 beta=99.58 gamma=118.80
Fractional positions:
Na 0.1609 0.8391 0.0000
Na 0.8391 0.1609 0.0000
Ca 0.3396 0.6604 0.5000
Ca 0.6604 0.3396 0.5000
Nb 0.0000 0.0000 0.5000
O 0.0531 0.3559 0.7000
O 0.2194 0.2194 0.2996
O 0.3559 0.0531 0.7000
O 0.6441 0.9469 0.3000
O 0.7806 0.7806 0.7004
O 0.9469 0.6441 0.3000